1.
Density functional theory data (PBE) for crystalline InFe2Cl at its relaxed geometry.

Unit cell a=8.3037 b=8.3037 c=8.3037 alpha=21.17 beta=21.17 gamma=21.17
Fractional coordinates of all 4 atoms:
In  0.2500  0.2500  0.2500
Fe  0.4933  0.4933  0.4933
Cl  0.7500  0.7500  0.7500
Fe  0.0067  0.0067  0.0067

- Energy relative to the lowest polymorph listed for this composition: 0.274 eV/atom
- N(E_F): 0.965 states/eV/atom
- VASP energy: -20.21 eV/f.u.
- Space group: R-3m
- M_tot: 5.47 Bohr magnetons per cell
- Calculated density: 6.6 g/cm3
- ΔE_f (raw): 0.325 eV per atom

2.
Density functional theory data (PBE) for crystalline InFeCl at its relaxed geometry.

Unit cell a=4.6100 b=4.6100 c=4.6100 alpha=60.00 beta=60.00 gamma=60.00
Fractional coordinates of all 3 atoms:
In  0.0000  0.0000  0.0000
Cl  0.5000  0.5000  0.5000
Fe  0.7500  0.7500  0.7500

- N(E_F): 0.807 states/eV/atom
- VASP energy: -11.68 eV/f.u.
- Space group: F-43m
- M_tot: 2.60 Bohr magnetons per cell
- Calculated density: 4.9 g/cm3
- ΔE_f (raw): 0.456 eV per atom

3.
Density functional theory data (PBE) for crystalline InFeCl2 at its relaxed geometry.

Unit cell a=5.0010 b=5.0010 c=5.0010 alpha=60.00 beta=60.00 gamma=60.00
Fractional coordinates of all 4 atoms:
Cl  0.2500  0.2500  0.2500
Cl  0.7500  0.7500  0.7500
In  0.5000  0.5000  0.5000
Fe  0.0000  0.0000  0.0000

- Energy relative to the lowest polymorph listed for this composition: 0.485 eV/atom
- N(E_F): 0.463 states/eV/atom
- VASP energy: -14.72 eV/f.u.
- Space group: Fm-3m
- M_tot: 3.18 Bohr magnetons per cell
- Calculated density: 4.5 g/cm3
- ΔE_f (raw): 0.043 eV per atom

4.
Density functional theory data (PBE) for crystalline InFeCl2 at its relaxed geometry.

Unit cell a=6.7121 b=6.7121 c=6.7121 alpha=145.07 beta=145.07 gamma=50.22
Fractional coordinates of all 4 atoms:
In  0.7500  0.2500  0.5000
Cl  0.0000  0.0000  0.0000
Fe  0.5000  0.5000  0.0000
Cl  0.2500  0.7500  0.5000

- Energy relative to the lowest polymorph listed for this composition: 0.529 eV/atom
- N(E_F): 0.879 states/eV/atom
- VASP energy: -14.55 eV/f.u.
- Space group: I-4m2
- M_tot: 3.36 Bohr magnetons per cell
- Calculated density: 4.1 g/cm3
- ΔE_f (raw): 0.087 eV per atom

5.
Density functional theory data (PBE) for crystalline InFeCl at its relaxed geometry.

Unit cell a=3.2117 b=3.2117 c=7.5085 alpha=90.00 beta=90.00 gamma=120.00
Fractional coordinates of all 3 atoms:
Cl  0.0000  0.0000  0.1036
Fe  0.6667  0.3333  0.3019
In  0.3333  0.6667  0.5945

- N(E_F): 0.751 states/eV/atom
- VASP energy: -13.17 eV/f.u.
- Space group: P3m1
- M_tot: 3.28 Bohr magnetons per cell
- Calculated density: 5.1 g/cm3
- ΔE_f (raw): -0.042 eV per atom

6.
Density functional theory data (PBE) for crystalline InFe2Cl at its relaxed geometry.

Unit cell a=4.9508 b=4.9508 c=2.9574 alpha=90.00 beta=90.00 gamma=109.01
Fractional coordinates of all 4 atoms:
Fe  0.0000  0.0000  0.0000
Fe  0.5000  0.5000  0.0000
Cl  0.0000  0.5000  0.5000
In  0.5000  0.0000  0.5000

- Energy relative to the lowest polymorph listed for this composition: 0.473 eV/atom
- N(E_F): 0.981 states/eV/atom
- VASP energy: -19.41 eV/f.u.
- Space group: Cmmm
- M_tot: 5.87 Bohr magnetons per cell
- Calculated density: 6.3 g/cm3
- ΔE_f (raw): 0.524 eV per atom

7.
Density functional theory data (PBE) for crystalline InFe2Cl at its relaxed geometry.

Unit cell a=6.2174 b=6.2174 c=4.5621 alpha=90.20 beta=90.20 gamma=28.46
Fractional coordinates of all 4 atoms:
Fe  0.3460  0.3460  0.9993
In  0.4674  0.4674  0.5006
Cl  0.6932  0.6932  0.9991
Fe  0.9935  0.9935  0.0010

- Energy relative to the lowest polymorph listed for this composition: 0.076 eV/atom
- N(E_F): 0.733 states/eV/atom
- VASP energy: -21.00 eV/f.u.
- Space group: Cm
- M_tot: 4.93 Bohr magnetons per cell
- Calculated density: 5.2 g/cm3
- ΔE_f (raw): 0.128 eV per atom

8.
Density functional theory data (PBE) for crystalline InFe2Cl at its relaxed geometry.

Unit cell a=4.9857 b=4.9857 c=7.4169 alpha=53.60 beta=53.60 gamma=35.27
Fractional coordinates of all 4 atoms:
Fe  0.4474  0.4474  0.4047
Fe  0.0526  0.0526  0.0953
In  0.2500  0.2500  0.2500
Cl  0.7500  0.7500  0.7500

- Energy relative to the lowest polymorph listed for this composition: 0.078 eV/atom
- N(E_F): 0.707 states/eV/atom
- VASP energy: -20.99 eV/f.u.
- Space group: C2/m
- M_tot: 5.20 Bohr magnetons per cell
- Calculated density: 5.2 g/cm3
- ΔE_f (raw): 0.130 eV per atom